# 1
A relaxed Tm5SnHg4 crystal. Source: Alexandria via LeMat-Bulk, functional GGA-PBE.

For the energy of formation, the calculation gives -0.4922 eV/atom. The crystal system is tetragonal. The calculation puts the calculated density at 11.72 Mg/m³. The final energy is -3.25 eV/atom.

Lattice parameters (Å, degrees): 3.6831 3.6831 18.4399 90.00 90.00 90.00
With the nearest neighbours (Å) after each atom.
Element x y z (fractional)
Tm 0.0000 0.0000 0.0000  8 Hg 3.20
Tm 0.0000 0.0000 0.1982  8 Hg 3.16-3.17
Tm 0.0000 0.0000 0.3961  4 Hg 3.20, 4 Sn 3.23
Tm 0.0000 0.0000 0.6039  4 Hg 3.20, 4 Sn 3.23
Tm 0.0000 0.0000 0.8018  8 Hg 3.16-3.17
Sn 0.5000 0.5000 0.5000  8 Tm 3.23
Hg 0.5000 0.5000 0.1005  8 Tm 3.17-3.20
Hg 0.5000 0.5000 0.2948  8 Tm 3.16-3.20
Hg 0.5000 0.5000 0.7052  8 Tm 3.16-3.20
Hg 0.5000 0.5000 0.8995  8 Tm 3.17-3.20

***

# 2
A relaxed Ni3GeOs crystal. Source: Alexandria via LeMat-Bulk, functional GGA-PBE.

For the energy of formation, the calculation gives 1.1638 eV/atom. The polymorph energy (0 for the lowest one) comes out at 0.0 meV/atom. The crystal system is cubic. The calculation puts the calculated density at 9.70 Mg/m³. The final energy is -5.47 eV/atom.

Lattice parameters (Å, degrees): 4.2201 4.2201 4.2201 90.00 90.00 90.00
With the nearest neighbours (Å) after each atom.
Element x y z (fractional)
Ni 0.0000 0.0000 0.5000  2 Ge 2.11
Ni 0.0000 0.5000 0.0000  2 Ge 2.11
Ni 0.5000 0.0000 0.0000  2 Ge 2.11
Ge 0.0000 0.0000 0.0000  6 Ni 2.11
Os 0.5000 0.5000 0.5000  12 Ni 2.98

***

# 3
A relaxed HfMgAlTc crystal. Source: Alexandria via LeMat-Bulk, functional GGA-PBE.

For the energy of formation, the calculation gives -0.1404 eV/atom. The crystal system is cubic. The calculation puts the calculated density at 7.96 Mg/m³. The final energy is -6.55 eV/atom.

Lattice parameters (Å, degrees): 4.5904 4.5904 4.5904 60.00 60.00 60.00
With the nearest neighbours (Å) after each atom.
Element x y z (fractional)
Hf 0.0000 0.0000 0.0000  4 Tc 2.81, 4 Mg 2.81
Mg 0.2500 0.2500 0.2500  4 Hf 2.81, 4 Al 2.81
Al 0.5000 0.5000 0.5000  4 Tc 2.81, 4 Mg 2.81
Tc 0.7500 0.7500 0.7500  4 Al 2.81, 4 Hf 2.81

***

# 4
A relaxed Ac2Ge crystal. Source: Alexandria via LeMat-Bulk, functional GGA-PBE.

For the energy of formation, the calculation gives -0.3633 eV/atom. The polymorph energy (0 for the lowest one) comes out at 101.2 meV/atom. The crystal system is orthorhombic. The calculation puts the calculated density at 6.98 Mg/m³. The final energy is -4.64 eV/atom.

Lattice parameters (Å, degrees): 7.3944 8.6265 7.8604 90.00 90.00 90.00
With the nearest neighbours (Å) after each atom.
Element x y z (fractional)
Ac 0.2480 0.1232 0.0753  3 Ge 3.14-3.17
Ac 0.2480 0.8768 0.5753  3 Ge 3.14-3.17
Ac 0.2520 0.3768 0.5753  3 Ge 3.14-3.17
Ac 0.2520 0.6232 0.0753  3 Ge 3.14-3.17
Ac 0.7480 0.3768 0.9247  3 Ge 3.14-3.17
Ac 0.7480 0.6232 0.4247  3 Ge 3.14-3.17
Ac 0.7520 0.1232 0.4247  3 Ge 3.14-3.17
Ac 0.7520 0.8768 0.9247  3 Ge 3.14-3.17
Ge 0.0000 0.3721 0.2500  6 Ac 3.14-3.17
Ge 0.0000 0.6279 0.7500  6 Ac 3.14-3.17
Ge 0.5000 0.1279 0.7500  6 Ac 3.14-3.17
Ge 0.5000 0.8721 0.2500  6 Ac 3.14-3.17